This record from Alexandria describes a relaxed BaC8N6 crystal. The functional is PBE-GGA.

a = 6.0178 Å, b = 8.7841 Å, c = 11.9037 Å
α = 90.00°, β = 90.00°, γ = 90.00°
With the nearest neighbours (Å) after each atom.
Sites, in units of the cell vectors:
N 0.2770 0.5000 0.3069  1 C 1.17
N 0.7585 0.2475 0.0893  1 C 1.17
N 0.7230 0.0000 0.8069  1 C 1.17
N 0.2415 0.7475 0.5893  1 C 1.17
N 0.2415 0.7525 0.9107  1 C 1.17
N 0.7585 0.7475 0.4107  1 C 1.17
N 0.2415 0.2525 0.5893  1 C 1.17
N 0.2770 0.0000 0.1931  1 C 1.17
N 0.2415 0.2475 0.9107  1 C 1.17
N 0.7585 0.2525 0.4107  1 C 1.17
N 0.7230 0.5000 0.6931  1 C 1.17
N 0.7585 0.7525 0.0893  1 C 1.17
C 0.4211 0.0000 0.2596  1 N 1.17
C 0.6833 0.6378 0.1225  1 N 1.17
C 0.4211 0.5000 0.2404  1 N 1.17
C 0.5789 0.5000 0.7596  1 N 1.17
C 0.3167 0.1378 0.6225  1 N 1.17
C 0.6833 0.3622 0.1225  1 N 1.17
C 0.4055 0.5000 0.8384  3 C 1.40
C 0.4055 0.0000 0.6616  3 C 1.40
C 0.5945 0.5000 0.1616  3 C 1.40
C 0.6833 0.8622 0.3775  1 N 1.17
C 0.5945 0.0000 0.3384  3 C 1.40
C 0.6833 0.1378 0.3775  1 N 1.17
C 0.3167 0.3622 0.8775  1 N 1.17
C 0.3167 0.6378 0.8775  1 N 1.17
C 0.5789 0.0000 0.7404  1 N 1.17
C 0.3167 0.8622 0.6225  1 N 1.17
Ba 0.0000 0.0000 0.0000  6 N 2.82-2.84
Ba 0.0000 0.5000 0.5000  6 N 2.82-2.84

formation energy from raw total energies = 120.6 meV per atom
space group = Pmna (53)
magnetic moment = 0.00 μB/cell
volume = 20.97 A^3/atom